## Hg2Ru (GGA-PBE)

Data for a relaxed structure of Hg2Ru.

Cell lengths 8.041, 8.041, 3.099 Å; angles 90.00, 90.00, 120.00 degrees
Positions (direct):
Hg: 0.000 0.616 0.500
Ru: 0.000 0.000 0.500
Hg: 0.711 0.711 0.000
Hg: 0.000 0.289 0.000
Ru: 0.333 0.667 0.000
Hg: 0.289 0.000 0.000
Hg: 0.616 0.000 0.500
Ru: 0.667 0.333 0.000
Hg: 0.384 0.384 0.500

Results
Symmetry   P-62m (189)
Formation enthalpy at 0 K   0.608 eV/atom
DFT total energy   -2.68 eV per atom
Total magnetization   0.8 μB per formula unit

***

## Li7MgCd4 (GGA-PBE)

Data for a relaxed structure of Li7MgCd4.

Cell lengths 4.977, 7.949, 7.278 Å; angles 63.30, 70.01, 71.76 degrees
Positions (direct):
Mg: 0.000 0.000 0.000
Cd: 0.438 0.721 0.404
Li: 0.235 0.736 0.793
Li: 0.083 0.565 0.269
Li: 0.204 0.123 0.468
Li: 0.917 0.435 0.731
Cd: 0.562 0.279 0.596
Li: 0.765 0.264 0.207
Cd: 0.677 0.647 0.000
Li: 0.500 0.000 0.000
Cd: 0.323 0.353 0.000
Li: 0.796 0.877 0.532

Results
Symmetry   C2/m (12)
Formation enthalpy at 0 K   -0.090 eV/atom
DFT total energy   -1.64 eV per atom
Total magnetization   0.0 μB per formula unit

***

## Re2AgTeIr (GGA-PBE)

Data for a relaxed structure of Re2AgTeIr.

Cell lengths 4.820, 4.842, 4.820 Å; angles 90.00, 90.00, 90.00 degrees
Positions (direct):
Te: 0.500 0.500 0.500
Re: 0.000 0.000 0.500
Ag: 0.000 0.000 0.000
Ir: 0.000 0.500 0.000
Re: 0.500 0.000 0.000

Results
Uncorrected formation energy   2.694 eV/atom
Symmetry   P4/mmm (123)
DFT total energy   -5.26 eV per atom
Total magnetization   3.1 μB per formula unit

***

## SrTeW2 (GGA-PBE)

Data for a relaxed structure of SrTeW2.

Cell lengths 4.638, 4.638, 10.532 Å; angles 77.28, 77.28, 90.00 degrees
Positions (direct):
Te: 0.000 0.000 0.000
Sr: 0.500 0.500 0.000
W: 0.779 0.125 0.250
Sr: 0.250 0.750 0.500
Te: 0.750 0.250 0.500
W: 0.375 0.221 0.750
W: 0.971 0.625 0.250
W: 0.875 0.029 0.750

Results
Uncorrected formation energy   0.977 eV/atom
Symmetry   I-42d (122)
DFT total energy   -6.71 eV per atom
Total magnetization   0.0 μB per formula unit

***

## Tl6In3Bi (GGA-PBE)

Data for a relaxed structure of Tl6In3Bi.

Cell lengths 4.924, 9.883, 13.743 Å; angles 108.08, 90.00, 90.00 degrees
Positions (direct):
In: 0.250 0.268 0.538
Tl: 0.750 0.527 0.610
In: 0.750 0.684 0.891
In: 0.750 0.101 0.040
Tl: 0.250 0.106 0.250
Tl: 0.750 0.850 0.154
Bi: 0.750 0.208 0.680
Tl: 0.250 0.150 0.846
Tl: 0.750 0.058 0.417
Tl: 0.250 0.942 0.583
Tl: 0.750 0.528 0.220
In: 0.750 0.732 0.462
In: 0.250 0.899 0.960
Tl: 0.250 0.472 0.780
Tl: 0.250 0.473 0.390
In: 0.250 0.316 0.109
Tl: 0.750 0.894 0.750
Tl: 0.750 0.382 0.948
Tl: 0.250 0.618 0.052
Bi: 0.250 0.792 0.320

Results
Symmetry   P2_1/m (11)
Formation enthalpy at 0 K   0.032 eV/atom
DFT total energy   -2.60 eV per atom
Total magnetization   0.0 μB per formula unit

***

## Pr4SbTePb2 (GGA-PBE)

Data for a relaxed structure of Pr4SbTePb2.

Cell lengths 4.503, 8.149, 7.819 Å; angles 71.37, 90.00, 90.00 degrees
Positions (direct):
Pb: 0.000 0.000 0.000
Pr: 0.000 0.744 0.755
Sb: 0.500 0.500 0.000
Pr: 0.000 0.256 0.245
Pr: 0.500 0.252 0.753
Pr: 0.500 0.748 0.247
Pb: 0.500 0.000 0.500
Te: 0.000 0.500 0.500

Results
Uncorrected formation energy   -0.929 eV/atom
Symmetry   P2/m (10)
DFT total energy   -5.15 eV per atom
Total magnetization   0.0 μB per formula unit

***

## InMo3Os (GGA-PBE)

Data for a relaxed structure of InMo3Os.

Cell lengths 4.765, 4.765, 4.765 Å; angles 90.00, 90.00, 90.00 degrees
Positions (direct):
In: 0.500 0.500 0.500
Mo: 0.000 0.500 0.000
Mo: 0.000 0.000 0.500
Os: 0.000 0.000 0.000
Mo: 0.500 0.000 0.000

Results
Energy above the lowest structure with this stoichiometry   0.0 meV per atom
Symmetry   Pm-3m (221)
Formation enthalpy at 0 K   1.426 eV/atom
DFT total energy   -7.87 eV per atom
Total magnetization   0.6 μB per formula unit

***

## Pa2Co4MoP3 (GGA-PBE)

Data for a relaxed structure of Pa2Co4MoP3.

Cell lengths 3.801, 3.801, 10.002 Å; angles 90.00, 90.00, 90.00 degrees
Positions (direct):
Co: 0.000 0.000 0.000
Co: 0.500 0.000 0.655
P: 0.500 0.000 0.878
Pa: 0.500 0.000 0.241
Mo: 0.500 0.500 0.500
Co: 0.500 0.500 0.000
Pa: 0.000 0.500 0.759
Co: 0.000 0.500 0.345
P: 0.000 0.000 0.500
P: 0.000 0.500 0.122

Results
Symmetry   P-4m2 (115)
Formation enthalpy at 0 K   -0.789 eV/atom
DFT total energy   -8.24 eV per atom
Total magnetization   1.3 μB per formula unit

***

## TbPmThMg (GGA-PBE)

Data for a relaxed structure of TbPmThMg.

Cell lengths 3.615, 3.615, 9.294 Å; angles 90.00, 90.00, 90.00 degrees
Positions (direct):
Pm: 0.000 0.000 0.080
Tb: 0.000 0.000 0.561
Th: 0.500 0.500 0.818
Mg: 0.500 0.500 0.326

Results
Symmetry   P4mm (99)
Formation enthalpy at 0 K   -0.049 eV/atom
DFT total energy   -4.65 eV per atom
Total magnetization   0.0 μB per formula unit

***

## SbP2SeO (GGA-PBE)

Data for a relaxed structure of SbP2SeO.

Cell lengths 5.114, 5.114, 3.902 Å; angles 90.00, 90.00, 90.00 degrees
Positions (direct):
Se: 0.500 0.500 0.500
P: 0.000 0.500 0.000
O: 0.000 0.000 0.500
P: 0.500 0.000 0.000
Sb: 0.000 0.000 0.000

Results
Energy above the lowest structure with this stoichiometry   111.5 meV per atom
Uncorrected formation energy   0.515 eV/atom
Symmetry   P4/mmm (123)
DFT total energy   -4.16 eV per atom
Total magnetization   0.0 μB per formula unit

***

## Pm6PaSe12 (GGA-PBE)

Data for a relaxed structure of Pm6PaSe12.

Cell lengths 8.400, 8.400, 8.400 Å; angles 99.02, 99.02, 99.02 degrees
Positions (direct):
Se: 0.178 0.432 0.578
Pm: 0.635 0.308 0.138
Pm: 0.365 0.692 0.862
Se: 0.324 0.069 0.968
Pa: 0.000 0.000 0.000
Se: 0.931 0.032 0.676
Se: 0.578 0.178 0.432
Se: 0.069 0.968 0.324
Se: 0.968 0.324 0.069
Se: 0.822 0.568 0.422
Se: 0.032 0.676 0.931
Pm: 0.308 0.138 0.635
Pm: 0.138 0.635 0.308
Pm: 0.862 0.365 0.692
Se: 0.422 0.822 0.568
Se: 0.676 0.931 0.032
Se: 0.568 0.422 0.822
Pm: 0.692 0.862 0.365
Se: 0.432 0.578 0.178

Results
Uncorrected formation energy   -1.692 eV/atom
Symmetry   R-3 (148)
DFT total energy   -5.89 eV per atom
Total magnetization   0.0 μB per formula unit

***

## TmMg2In3 (GGA-PBE)

Data for a relaxed structure of TmMg2In3.

Cell lengths 4.451, 4.555, 7.342 Å; angles 108.07, 90.00, 90.00 degrees
Positions (direct):
In: 0.500 0.500 0.000
In: 0.500 0.831 0.661
Mg: 0.000 0.329 0.658
In: 0.500 0.169 0.339
Tm: 0.000 0.000 0.000
Mg: 0.000 0.671 0.342

Results
Symmetry   Cmmm (65)
Formation enthalpy at 0 K   -0.258 eV/atom
DFT total energy   -2.90 eV per atom
Total magnetization   0.0 μB per formula unit